Entry 1:
Entry from Alexandria via LeMat-Bulk: a geometry-optimized HoZn2Pd2 structure (PBE).

POSCAR file:
```
HoZn2Pd2
1.0
-4.294 2.193 2.041
0.293 -1.539 -4.996
-0.861 -7.901 3.629
Ho Zn Pd
2 4 4
Direct
0.875 0.625 0.750
0.125 0.375 0.250
0.252 0.002 0.503
0.502 0.752 0.003
0.748 0.998 0.497
0.498 0.248 0.997
0.206 0.294 0.750
0.457 0.043 0.250
0.543 0.957 0.750
0.794 0.706 0.250
```

Output
The value obtained for the density is 8.7 g/cm³. The total magnetization comes out at 0.0 μB/f.u. The value obtained for the density of states at the Fermi level is 4.13 states/eV per cell. The calculated total energy comes out at -40.738 eV/cell. The value obtained for the energy of formation is -55 kJ per mole of atoms.

Entry 2:
Entry from Alexandria via LeMat-Bulk: a geometry-optimized Ho2Zn3Pd2 structure (PBE).

POSCAR file:
```
Ho2Zn3Pd2
1.0
4.291 0.000 0.000
-2.146 4.821 -0.106
0.000 -2.356 6.453
Ho Zn Pd
2 3 2
Direct
0.855 0.710 0.234
0.145 0.290 0.766
0.500 0.000 0.000
0.620 0.240 0.436
0.380 0.760 0.564
0.858 0.716 0.797
0.142 0.284 0.203
```

Output
The value obtained for the density is 9.3 g/cm³. The total magnetization comes out at 0.0 μB/f.u. The value obtained for the density of states at the Fermi level is 4.00 states/eV per cell. The calculated total energy comes out at -27.969 eV/cell. The value obtained for the energy of formation is -63 kJ per mole of atoms.

Entry 3:
Entry from Alexandria via LeMat-Bulk: a geometry-optimized HoZn4Pd8 structure (PBE).

POSCAR file:
```
HoZn4Pd8
1.0
-3.217 -0.075 -4.224
-3.092 -5.969 -0.877
-6.344 1.891 1.461
Ho Zn Pd
1 4 8
Direct
0.000 0.000 0.000
0.000 0.000 0.500
0.500 0.000 0.500
0.000 0.500 0.000
0.500 0.500 0.000
0.000 0.339 0.661
0.000 0.661 0.339
0.339 0.661 0.661
0.661 0.339 0.339
0.500 0.779 0.221
0.500 0.221 0.779
0.279 0.221 0.221
0.721 0.779 0.779
```

Output
The value obtained for the density is 10.3 g/cm³. The total magnetization comes out at 0.0 μB/f.u. The value obtained for the density of states at the Fermi level is 5.67 states/eV per cell. The calculated total energy comes out at -58.489 eV/cell. The value obtained for the energy of formation is -54 kJ per mole of atoms.

Entry 4:
Entry from Alexandria via LeMat-Bulk: a geometry-optimized HoZnPd2 structure (PBE).

POSCAR file:
```
HoZnPd2
1.0
5.619 0.000 0.000
0.000 7.259 0.000
0.000 0.000 7.146
Ho Zn Pd
4 4 8
Direct
0.361 0.250 0.024
0.861 0.750 0.476
0.639 0.750 0.976
0.139 0.250 0.524
0.642 0.250 0.388
0.142 0.750 0.112
0.358 0.750 0.612
0.858 0.250 0.888
0.914 0.048 0.189
0.414 0.952 0.311
0.086 0.548 0.811
0.586 0.452 0.689
0.086 0.952 0.811
0.586 0.048 0.689
0.914 0.452 0.189
0.414 0.548 0.311
```

Output
The value obtained for the density is 10.1 g/cm³. The total magnetization comes out at 0.0 μB/f.u. The value obtained for the density of states at the Fermi level is 8.72 states/eV per cell. The calculated total energy comes out at -77.113 eV/cell. The value obtained for the energy of formation is -73 kJ per mole of atoms.

Entry 5:
Entry from Alexandria via LeMat-Bulk: a geometry-optimized Ho2Zn2Pd structure (PBE).

POSCAR file:
```
Ho2Zn2Pd
1.0
-2.947 -1.046 -6.275
6.321 -1.251 -2.761
-0.859 -8.273 1.782
Ho Zn Pd
8 8 4
Direct
0.675 0.825 0.500
0.325 0.175 0.500
0.825 0.325 0.000
0.175 0.675 0.000
0.825 0.325 0.500
0.175 0.675 0.500
0.325 0.175 0.000
0.675 0.825 0.000
0.372 0.872 0.250
0.628 0.128 0.250
0.128 0.372 0.750
0.872 0.628 0.750
0.872 0.628 0.250
0.128 0.372 0.250
0.372 0.872 0.750
0.628 0.128 0.750
0.500 0.500 0.251
0.000 0.000 0.751
0.500 0.500 0.749
0.000 0.000 0.249
```

Output
The value obtained for the density is 9.0 g/cm³. The total magnetization comes out at 0.0 μB/f.u. The value obtained for the density of states at the Fermi level is 24.59 states/eV per cell. The calculated total energy comes out at -76.731 eV/cell. The value obtained for the energy of formation is -44 kJ per mole of atoms.

Entry 6:
Entry from Alexandria via LeMat-Bulk: a geometry-optimized Ho3Zn8Pd3 structure (PBE).

POSCAR file:
```
Ho3Zn8Pd3
1.0
4.017 0.000 1.100
1.464 7.723 2.540
-0.096 0.626 8.236
Ho Zn Pd
3 8 3
Direct
0.500 0.500 0.500
0.829 0.171 0.171
0.171 0.829 0.829
0.626 0.099 0.649
0.374 0.901 0.351
0.626 0.649 0.099
0.374 0.351 0.901
0.818 0.818 0.545
0.182 0.182 0.455
0.818 0.545 0.818
0.182 0.455 0.182
0.500 0.000 0.000
0.000 0.765 0.235
0.000 0.235 0.765
```

Output
The value obtained for the density is 8.8 g/cm³. The total magnetization comes out at 0.0 μB/f.u. The value obtained for the density of states at the Fermi level is 6.84 states/eV per cell. The calculated total energy comes out at -46.697 eV/cell. The value obtained for the energy of formation is -50 kJ per mole of atoms.

Entry 7:
Entry from Alexandria via LeMat-Bulk: a geometry-optimized HoZn2Pd2 structure (PBE).

POSCAR file:
```
HoZn2Pd2
1.0
-1.057 -4.358 -1.102
1.854 0.674 -4.446
6.543 -2.618 4.080
Ho Zn Pd
2 4 4
Direct
0.250 0.212 0.269
0.750 0.788 0.731
0.250 0.639 0.000
0.750 0.361 0.000
0.250 0.341 0.650
0.750 0.659 0.350
0.250 0.798 0.506
0.750 0.202 0.494
0.250 0.103 0.902
0.750 0.897 0.098
```

Output
The value obtained for the density is 9.4 g/cm³. The total magnetization comes out at 0.0 μB/f.u. The value obtained for the density of states at the Fermi level is 3.95 states/eV per cell. The calculated total energy comes out at -41.426 eV/cell. The value obtained for the energy of formation is -62 kJ per mole of atoms.

Entry 8:
Entry from Alexandria via LeMat-Bulk: a geometry-optimized Ho2ZrPd8 structure (PBE).

POSCAR file:
```
Ho2ZrPd8
1.0
4.169 0.000 0.000
0.000 6.713 0.202
-2.085 -2.565 6.872
Ho Zr Pd
2 1 8
Direct
0.783 0.335 0.566
0.217 0.665 0.434
0.500 0.000 0.000
0.408 0.560 0.816
0.674 0.907 0.348
0.861 0.826 0.722
0.964 0.277 0.929
0.139 0.174 0.278
0.326 0.093 0.652
0.592 0.440 0.184
0.036 0.723 0.071
```

Output
The value obtained for the density is 10.9 g/cm³. The total magnetization comes out at 0.0 μB/f.u. The value obtained for the density of states at the Fermi level is 4.47 states/eV per cell. The calculated total energy comes out at -67.389 eV/cell. The value obtained for the energy of formation is -71 kJ per mole of atoms.